The following is a DFT calculation (PBE) of CaEu2Ir after structural relaxation.

size of the total moment: 3.564 μB/atom
energy relative to the elements: -0.186 eV/atom
crystal system: tetragonal

The structure in POSCAR format:
```
CaEu2Ir
1.0
3.592 0.000 0.000
0.000 3.592 0.000
0.000 0.000 9.693
Ca Eu Ir
1 2 1
Cartesian
0.000 0.000 0.000 Ca
1.796 1.796 3.175 Eu
1.796 1.796 6.517 Eu
0.000 0.000 4.846 Ir
```